{"formula": "Ce2Br2NO", "functional": "PBE", "state": "relaxed", "energy_ev_per_atom": -6.9130, "sg": "Pmc2_1 (26)", "formation_energy_uncorrected_kj_per_mol_fu": -1252, "vol_a3_per_atom": 23.296, "cell": [[-3.464, -0.564, 2.141], [4.194, 0.245, 6.851], [-1.123, 8.379, 0.389]], "species": ["Ce", "Br", "Ce", "N", "O", "Ce", "Ce", "Br", "Br", "O", "N", "Br"], "frac_coords": [[0.000, 0.740, 0.264], [0.500, 0.531, 0.769], [0.500, 0.366, 0.404], [0.500, 0.150, 0.645], [0.000, 0.362, 0.501], [0.500, 0.866, 0.596], [0.000, 0.240, 0.736], [0.500, 0.031, 0.231], [0.000, 0.395, 0.112], [0.000, 0.862, 0.499], [0.500, 0.650, 0.355], [0.000, 0.895, 0.888]]}